10
Lattice="3.9321 0.0000 0.0000 0.0000 3.9321 0.0000 0.0000 0.0000 9.8441" Properties=species:S:1:pos:R:3 comment="Pm2Ni4P3Ir | Alexandria via LeMat-Bulk | PBE-GGA | relaxed" magmom_total_mub_per_cell=0.00 ef_ev_per_atom=-0.7860 energy_ev_per_atom=-6.558 dos_ef_per_ev_fu=8.2 pbc="T T T"
Pm 1.9661 0.0000 2.4200
Pm 0.0000 1.9661 7.4241
Ni 1.9661 1.9661 0.0000
Ni 0.0000 0.0000 0.0000
Ni 1.9661 0.0000 6.3874
Ni 0.0000 1.9661 3.4567
P 0.0000 0.0000 4.9220
P 1.9661 0.0000 8.6236
P 0.0000 1.9661 1.2204
Ir 1.9661 1.9661 4.9220